BaAu5: optimized geometry, PBE.

Properties
Space group ... No. 12
ΔE_f ... -0.32 eV/atom
Crystal system ... monoclinic
Final energy ... -3.373 eV per atom
Total magnetization ... 0.00 μB/cell

Cell lengths 4.8230, 4.8230, 7.3955 Å; angles 86.28, 86.28, 57.34 degrees
Closest atoms and distances in Å follow each position.
Atoms (fractional coordinates):
Au: 0.1807 0.1807 0.1933  5 Au 2.75-2.96
Au: 0.8193 0.8193 0.8067  5 Au 2.75-2.96
Au: 0.5000 0.5000 0.0000  10 Au 2.95-3.17
Au: 0.1449 0.1449 0.8024  6 Au 2.75-2.95
Au: 0.8551 0.8551 0.1976  6 Au 2.75-2.95
Ba: 0.5000 0.5000 0.5000  14 Au 3.50-3.70